Computed, not measured: a relaxed structure of NpAl2Bi at the PBE level of DFT.

The magnetization is 4.1 μB/f.u. The calculation puts the total energy at -0.2225 hartree per atom. The calculated formation energy is 0.0216 eV per atom. Its volume is 22.5 Å³ per atom. The space group is P4/mmm (123).

Cell: 4.488 4.488 4.477 Å, 90.00 90.00 90.00°
Atoms (fractional coordinates):
Np1 0.000 0.000 0.000
Al1 0.000 0.500 0.500
Al2 0.500 0.000 0.500
Bi1 0.500 0.500 0.000



Computed, not measured: a relaxed structure of VGeTe2N at the PBE level of DFT.

The magnetization is 0.6 μB/f.u. The calculation puts the total energy at -0.2032 hartree per atom. Its volume is 21.4 Å³ per atom. The space group is P4/mmm (123).

Cell: 5.425 5.425 3.640 Å, 90.00 90.00 90.00°
Atoms (fractional coordinates):
V1 0.000 0.000 0.000
Ge1 0.500 0.500 0.500
Te1 0.000 0.500 0.000
Te2 0.500 0.000 0.000
N1 0.000 0.000 0.500



Computed, not measured: a relaxed structure of LaCd2Pb2 at the PBE level of DFT.

The magnetization is 0.0 μB/f.u. The calculation puts the total energy at -0.1161 hartree per atom. The calculated formation energy is -0.3233 eV per atom. Its volume is 27.6 Å³ per atom. The space group is Cmcm (63).

Cell: 12.552 12.552 4.739 Å, 90.00 90.00 158.30°
Atoms (fractional coordinates):
La1 0.144 0.856 0.750
La2 0.856 0.144 0.250
Cd1 0.038 0.962 0.250
Cd2 0.458 0.542 0.250
Cd3 0.542 0.458 0.750
Cd4 0.962 0.038 0.750
Pb1 0.250 0.750 0.250
Pb2 0.370 0.630 0.750
Pb3 0.630 0.370 0.250
Pb4 0.750 0.250 0.750



Computed, not measured: a relaxed structure of SrAlPCl2 at the PBE level of DFT.

The magnetization is 2.0 μB/f.u. The calculation puts the total energy at -0.1221 hartree per atom. Its volume is 38.0 Å³ per atom. The space group is P4/mmm (123).

Cell: 5.573 5.573 6.124 Å, 90.00 90.00 90.00°
Atoms (fractional coordinates):
Sr1 0.000 0.000 0.000
Al1 0.500 0.500 0.500
P1 0.000 0.000 0.500
Cl1 0.000 0.500 0.000
Cl2 0.500 0.000 0.000